Compound: Sm6Dy16Tm7
Source: Alexandria
Functional: PBE
Structure: optimized geometry

Cell: 15.6866 15.6866 15.6866 Å, 90.00 90.00 90.00°
Closest atoms and distances in Å follow each position.
Space group Fm-3m (No. 225)
Asymmetric unit:
Sm (0.0000, 0.0000, 0.2158) x24  8 Dy 3.54-3.72, 4 Tm 3.96
Dy (0.1222, 0.1222, 0.3778) x32  4 Tm 3.32-3.42, 3 Dy 3.59, 3 Sm 3.72
Dy (0.1534, 0.1534, 0.1534) x32  3 Tm 3.22, 3 Sm 3.54, 3 Dy 3.59
Tm (0.0000, 0.0000, 0.5000) x4  8 Dy 3.32
Tm (0.0000, 0.2500, 0.2500) x24  8 Dy 3.22-3.42

## Properties
**Total magnetization**: 5.5 μB/f.u.
**Electronic total energy**: -0.1603 Ha/atom
**Density**: 8.1 g cm⁻³